Below is an optimized crystal structure of Mo2NF, with properties calculated at the GGA+U level.

Cell: 4.9576 4.9576 6.1194 Å, 66.10 66.10 90.00°
Last column: nearest neighbours and their distance in Å.
Atoms (fractional coordinates):
Mo  0.5709  0.1250  0.2500  2 N 2.01
Mo  0.1791  0.6250  0.2500  2 N 2.01
Mo  0.3750  0.4291  0.7500  2 N 2.01
Mo  0.8750  0.8209  0.7500  2 N 2.01
N  0.5000  0.5000  0.0000  4 Mo 2.01
N  0.2500  0.7500  0.5000  4 Mo 2.01
F  0.0000  0.0000  0.0000  4 Mo 2.32
F  0.7500  0.2500  0.5000  4 Mo 2.32

## Properties
Energy above the lowest structure with this stoichiometry (eV/f.u.): 0.00
N(E_F) (states/eV/f.u.): 0.00
Space group: No. 122